# BaMnIr2, optimized geometry, DFT GGA-PBEsol
data_BaMnIr2
_symmetry_space_group_name_H-M 'C 1 2/m 1'
_symmetry_Int_Tables_number 12
_symmetry_space_group_name_Hall '-C 2y'
_cell_length_a 7.5364
_cell_length_b 4.3517
_cell_length_c 6.1991
_cell_angle_alpha 90.00
_cell_angle_beta 113.79
_cell_angle_gamma 90.00
loop_
_atom_site_label
_atom_site_fract_x
_atom_site_fract_y
_atom_site_fract_z
Ba1 0.0000 0.0000 0.0000
Mn1 0.0000 0.5000 0.5000
Ir1 0.1828 0.0000 0.5486
# Energy of formation (kJ per mole of atoms): 8.2
# Crystal system: monoclinic
# DOS at the Fermi energy (states/eV/cell): 7.72
# Relative energy among the computed polymorphs (meV per atom): 0
# Theoretical density (g/cm³): 10.30
# Energy (eV per cell): -62.43
# Size of the total moment (μB/f.u.): 2.72

---

# MgTe2SeI, optimized geometry, DFT GGA-PBEsol
data_MgTe2SeI
_symmetry_space_group_name_H-M 'P 4/m m m'
_symmetry_Int_Tables_number 123
_symmetry_space_group_name_Hall '-P 4 2'
_cell_length_a 5.4344
_cell_length_b 5.4344
_cell_length_c 5.2071
_cell_angle_alpha 90.00
_cell_angle_beta 90.00
_cell_angle_gamma 90.00
loop_
_atom_site_label
_atom_site_fract_x
_atom_site_fract_y
_atom_site_fract_z
Mg1 0.0000 0.0000 0.0000
Te1 0.0000 0.5000 0.0000
Se1 0.5000 0.5000 0.5000
I1 0.0000 0.0000 0.5000
# Uncorrected formation energy (eV/atom): 0.342
# Crystal system: tetragonal
# DOS at the Fermi energy (states/eV/cell): 5.39
# Theoretical density (g/cm³): 5.24
# Energy (eV per cell): -12.68
# Size of the total moment (μB/f.u.): 0.00

---

# NbCdNi3, optimized geometry, DFT GGA-PBEsol
data_NbCdNi3
_symmetry_space_group_name_H-M 'P m -3 m'
_symmetry_Int_Tables_number 221
_symmetry_space_group_name_Hall '-P 4 2 3'
_cell_length_a 4.4879
_cell_length_b 4.4879
_cell_length_c 4.4879
_cell_angle_alpha 90.00
_cell_angle_beta 90.00
_cell_angle_gamma 90.00
loop_
_atom_site_label
_atom_site_fract_x
_atom_site_fract_y
_atom_site_fract_z
Nb1 0.0000 0.0000 0.0000
Cd1 0.5000 0.5000 0.5000
Ni1 0.0000 0.0000 0.5000
# Energy of formation (kJ per mole of atoms): 114.8
# Crystal system: cubic
# DOS at the Fermi energy (states/eV/cell): 4.40
# Theoretical density (g/cm³): 7.01
# Energy (eV per cell): -24.54
# Size of the total moment (μB/f.u.): 0.00

---

Copy entry 3 word for word.
# NbCdNi3, optimized geometry, DFT GGA-PBEsol
data_NbCdNi3
_symmetry_space_group_name_H-M 'P m -3 m'
_symmetry_Int_Tables_number 221
_symmetry_space_group_name_Hall '-P 4 2 3'
_cell_length_a 4.4879
_cell_length_b 4.4879
_cell_length_c 4.4879
_cell_angle_alpha 90.00
_cell_angle_beta 90.00
_cell_angle_gamma 90.00
loop_
_atom_site_label
_atom_site_fract_x
_atom_site_fract_y
_atom_site_fract_z
Nb1 0.0000 0.0000 0.0000
Cd1 0.5000 0.5000 0.5000
Ni1 0.0000 0.0000 0.5000
# Energy of formation (kJ per mole of atoms): 114.8
# Crystal system: cubic
# DOS at the Fermi energy (states/eV/cell): 4.40
# Theoretical density (g/cm³): 7.01
# Energy (eV per cell): -24.54
# Size of the total moment (μB/f.u.): 0.00